A relaxed structure of La2SiNiO6, computed with PBE+U.

Unit cell a=5.475 b=5.407 c=9.389 alpha=90.00 beta=125.33 gamma=90.00
Element x y z (fractional)
La 0.246 0.006 0.250
La 0.246 0.494 0.750
La 0.754 0.506 0.250
La 0.754 0.994 0.750
Si 0.000 0.000 0.500
Si 0.000 0.500 0.000
Ni 0.500 0.000 0.000
Ni 0.500 0.500 0.500
O 0.191 0.242 0.467
O 0.191 0.258 0.967
O 0.205 0.728 0.967
O 0.205 0.772 0.467
O 0.295 0.002 0.733
O 0.295 0.498 0.233
O 0.705 0.502 0.767
O 0.705 0.998 0.267
O 0.795 0.228 0.533
O 0.795 0.272 0.033
O 0.809 0.742 0.033
O 0.809 0.758 0.533

Values from the calculation:
Electronic total energy ... -7.56 eV/atom
Total moment ... 3.92 μB/cell
ρ ... 6.7 g/cm³